No. 1
Be2HgCl: optimized geometry, GGA-PBE.

## Properties
E_form (uncorrected) ... 0.02 eV/atom

Structure (CIF):
```
data_Be2HgCl
_chemical_formula_sum 'Be2 Hg1 Cl1'
_space_group_name_H-M_alt 'P 1'
_space_group_IT_number 1
_cell_length_a 7.664
_cell_length_b 7.664
_cell_length_c 3.957
_cell_angle_alpha 88.59
_cell_angle_beta 88.59
_cell_angle_gamma 22.61
loop_
_space_group_symop_operation_xyz
'x,y,z'
loop_
_atom_site_label
_atom_site_fract_x
_atom_site_fract_y
_atom_site_fract_z
_atom_site_occupancy
Hg1 0.796 0.796 0.758 1
Be1 0.287 0.287 0.259 1
Be2 0.914 0.914 0.245 1
Cl1 0.502 0.502 0.238 1
```

---

No. 2
Be2HgCl: optimized geometry, GGA-PBE.

## Properties
E_form (uncorrected) ... 0.35 eV/atom

Structure (CIF):
```
data_Be2HgCl
_chemical_formula_sum 'Be4 Hg2 Cl2'
_space_group_name_H-M_alt 'P 1'
_space_group_IT_number 1
_cell_length_a 5.669
_cell_length_b 5.669
_cell_length_c 6.061
_cell_angle_alpha 62.12
_cell_angle_beta 62.12
_cell_angle_gamma 90.00
loop_
_space_group_symop_operation_xyz
'x,y,z'
loop_
_atom_site_label
_atom_site_fract_x
_atom_site_fract_y
_atom_site_fract_z
_atom_site_occupancy
Be1 0.606 0.125 0.250 1
Be2 0.375 0.394 0.750 1
Be3 0.144 0.625 0.250 1
Be4 0.875 0.856 0.750 1
Cl1 0.250 0.750 0.500 1
Cl2 0.500 0.500 0.000 1
Hg1 0.000 0.000 0.000 1
Hg2 0.750 0.250 0.500 1
```

---

No. 3
BeHgCl2: optimized geometry, GGA-PBE.

## Properties
E_form (uncorrected) ... 0.39 eV/atom

Structure (CIF):
```
data_BeHgCl2
_chemical_formula_sum 'Be1 Hg1 Cl2'
_space_group_name_H-M_alt 'P 1'
_space_group_IT_number 1
_cell_length_a 4.920
_cell_length_b 4.920
_cell_length_c 4.920
_cell_angle_alpha 60.00
_cell_angle_beta 60.00
_cell_angle_gamma 60.00
loop_
_space_group_symop_operation_xyz
'x,y,z'
loop_
_atom_site_label
_atom_site_fract_x
_atom_site_fract_y
_atom_site_fract_z
_atom_site_occupancy
Cl1 0.750 0.750 0.750 1
Cl2 0.250 0.250 0.250 1
Hg1 0.500 0.500 0.500 1
Be1 0.000 0.000 0.000 1
```

---

No. 4
Be2HgCl: optimized geometry, GGA-PBE.

## Properties
E_form (uncorrected) ... 0.91 eV/atom

Structure (CIF):
```
data_Be2HgCl
_chemical_formula_sum 'Be2 Hg1 Cl1'
_space_group_name_H-M_alt 'P 1'
_space_group_IT_number 1
_cell_length_a 4.646
_cell_length_b 4.646
_cell_length_c 4.646
_cell_angle_alpha 60.00
_cell_angle_beta 60.00
_cell_angle_gamma 60.00
loop_
_space_group_symop_operation_xyz
'x,y,z'
loop_
_atom_site_label
_atom_site_fract_x
_atom_site_fract_y
_atom_site_fract_z
_atom_site_occupancy
Hg1 0.500 0.500 0.500 1
Be1 0.750 0.750 0.750 1
Be2 0.250 0.250 0.250 1
Cl1 0.000 0.000 0.000 1
```

---

No. 5
BeHgCl2: optimized geometry, GGA-PBE.

## Properties
E_form (uncorrected) ... -0.76 eV/atom

Structure (CIF):
```
data_BeHgCl2
_chemical_formula_sum 'Be1 Hg1 Cl2'
_space_group_name_H-M_alt 'P 1'
_space_group_IT_number 1
_cell_length_a 4.165
_cell_length_b 4.165
_cell_length_c 10.892
_cell_angle_alpha 90.00
_cell_angle_beta 90.00
_cell_angle_gamma 136.49
loop_
_space_group_symop_operation_xyz
'x,y,z'
loop_
_atom_site_label
_atom_site_fract_x
_atom_site_fract_y
_atom_site_fract_z
_atom_site_occupancy
Hg1 0.500 0.500 0.250 1
Cl1 0.000 0.000 0.883 1
Cl2 0.000 0.000 0.617 1
Be1 0.500 0.500 0.750 1
```

---

No. 6
Be2HgCl: optimized geometry, GGA-PBE.

## Properties
E_form (uncorrected) ... 0.56 eV/atom

Structure (CIF):
```
data_Be2HgCl
_chemical_formula_sum 'Be2 Hg1 Cl1'
_space_group_name_H-M_alt 'P 1'
_space_group_IT_number 1
_cell_length_a 3.006
_cell_length_b 3.006
_cell_length_c 7.082
_cell_angle_alpha 90.00
_cell_angle_beta 90.00
_cell_angle_gamma 90.00
loop_
_space_group_symop_operation_xyz
'x,y,z'
loop_
_atom_site_label
_atom_site_fract_x
_atom_site_fract_y
_atom_site_fract_z
_atom_site_occupancy
Be1 0.000 0.000 0.980 1
Be2 0.000 0.000 0.520 1
Cl1 0.500 0.500 0.250 1
Hg1 0.500 0.500 0.750 1
```

---

Relative energy among the computed polymorphs
In order: 0.0, 329.4, 1398.4, 894.8, 243.7, 540.7
Unit: meV/atom